NiAsOF2 | PBE with a Hubbard U | relaxed

Cell: 4.2030 4.2030 3.9834 Å, 90.00 90.00 90.00°
With the nearest neighbours (Å) after each atom.
Space group P4/mmm (No. 123)
Asymmetric unit:
Ni: 0.0000 0.0000 0.0000 (multiplicity 1)  8 F 2.90, 4 O 2.97
As: 0.5000 0.5000 0.5000 (multiplicity 1)  2 O 1.99, 4 F 2.10
O: 0.5000 0.5000 0.0000 (multiplicity 1)  2 As 1.99
F: 0.0000 0.5000 0.5000 (multiplicity 2)  2 As 2.10

Output
ρ   4.43 g/cm³
Final energy   -4.024 eV per atom